Entry 1:
Computed, not measured: an optimized crystal structure of NaIn4BiSe8 at the PBE level of DFT.

```
14
Lattice="8.286 0.000 0.000 4.143 7.176 0.000 4.143 2.392 6.860" Properties=species:S:1:pos:R:3 pbc="T T T"
Na 8.286 4.784 6.071
In 8.286 4.784 0.902
In 4.143 4.659 3.457
In 6.107 1.258 3.457
In 2.180 1.258 3.457
Bi 4.143 2.392 6.695
Se 8.286 7.306 4.974
Se 10.470 3.523 4.974
Se 6.102 3.523 4.974
Se 4.143 2.392 1.935
Se 8.286 2.273 1.864
Se 6.112 6.039 1.864
Se 10.461 6.039 1.864
Se 12.430 7.176 4.960
```

Results
calculated total energy = -51.64 eV per cell
space group = No. 160
formation energy without anion corrections = -544 meV per atom
V = 407.9 Å³/cell

=====

Entry 2:
Computed, not measured: an optimized crystal structure of PmPaTlHg at the PBE level of DFT.

```
4
Lattice="5.396 0.000 0.000 2.698 4.673 0.000 2.698 1.558 4.406" Properties=species:S:1:pos:R:3 pbc="T T T"
Tl 0.000 0.000 0.000
Pa 8.094 4.673 3.304
Hg 5.396 3.115 2.203
Pm 2.698 1.558 1.101
```

Results
calculated total energy = -16.84 eV per cell
space group = No. 216
V = 111.1 Å³/cell

=====

Entry 3:
Computed, not measured: an optimized crystal structure of TaPb3 at the PBE level of DFT.

```
16
Lattice="-5.014 -4.145 -0.524 5.813 -2.152 2.043 -2.964 2.223 10.773" Properties=species:S:1:pos:R:3 pbc="T T T"
Pb -2.507 -2.072 -0.262
Pb -3.989 -0.961 5.125
Pb 2.906 -1.076 1.022
Pb 0.399 -3.148 0.760
Pb -1.082 -2.037 6.146
Pb 1.425 0.036 6.408
Pb -1.008 -4.379 3.638
Pb -1.157 0.306 8.654
Pb -1.420 -1.127 2.854
Pb -4.010 -3.268 2.583
Pb 1.845 -0.805 9.709
Pb -0.745 -2.946 9.439
Ta 0.000 0.000 0.000
Ta -1.482 1.112 5.387
Ta 1.463 -2.260 3.881
Ta -3.628 -1.813 8.412
```

Results
calculated total energy = -79.81 eV per cell
space group = No. 194
V = 420.2 Å³/cell

=====

Entry 4:
Computed, not measured: an optimized crystal structure of MgTlHRh2 at the PBE level of DFT.

```
5
Lattice="-3.791 1.457 -0.948 -1.529 -3.877 0.156 -0.779 0.461 3.826" Properties=species:S:1:pos:R:3 pbc="T T T"
H 0.000 0.000 0.000
Tl -3.049 -0.979 1.517
Rh -0.764 -1.938 0.078
Rh -1.895 0.728 -0.474
Mg -0.390 0.231 1.913
```

Results
calculated total energy = -23.00 eV per cell
space group = No. 123
V = 68.4 Å³/cell

=====

Entry 5:
Computed, not measured: an optimized crystal structure of Nd2Pu3ThTe6 at the PBE level of DFT.

```
12
Lattice="4.420 0.000 0.000 0.000 8.973 0.257 -2.210 -2.645 9.376" Properties=species:S:1:pos:R:3 pbc="T T T"
Nd 2.210 4.224 6.431
Nd 0.000 2.104 3.202
Pu 2.210 4.487 0.129
Pu 2.210 -0.270 6.293
Pu 0.000 6.599 3.340
Th 2.210 0.000 0.000
Te 0.000 6.502 6.458
Te 2.210 4.390 3.256
Te 2.210 -0.174 3.176
Te 2.210 -0.356 9.409
Te 0.000 6.684 0.224
Te 0.000 1.938 6.377
```

Results
calculated total energy = -93.24 eV per cell
space group = No. 12
formation energy without anion corrections = -1204 meV per atom
V = 374.9 Å³/cell

=====

Entry 6:
Computed, not measured: an optimized crystal structure of La2Be2SnRh5 at the PBE level of DFT.

```
20
Lattice="3.431 0.000 0.000 0.000 9.840 0.000 0.000 0.000 9.840" Properties=species:S:1:pos:R:3 pbc="T T T"
La 0.000 6.670 1.750
La 0.000 3.170 8.090
La 0.000 1.750 3.170
La 0.000 8.090 6.670
Be 0.000 1.168 6.088
Be 0.000 8.672 3.752
Be 0.000 6.088 8.672
Be 0.000 3.752 1.168
Sn 0.000 0.000 0.000
Sn 0.000 4.920 4.920
Rh 1.716 2.174 0.676
Rh 1.716 7.666 9.164
Rh 1.716 0.676 7.666
Rh 1.716 7.094 4.244
Rh 1.716 9.164 2.174
Rh 1.716 2.746 5.596
Rh 1.716 5.596 7.094
Rh 1.716 4.244 2.746
Rh 1.716 4.920 0.000
Rh 1.716 0.000 4.920
```

Results
calculated total energy = -130.64 eV per cell
space group = No. 127
V = 332.3 Å³/cell

=====

Entry 7:
Computed, not measured: an optimized crystal structure of Cu3AgO at the PBE level of DFT.

```
5
Lattice="-0.358 -3.783 -1.353 2.044 -1.341 3.208 -3.459 -0.401 2.036" Properties=species:S:1:pos:R:3 pbc="T T T"
O 0.000 0.000 0.000
Cu 1.022 -0.670 1.604
Cu -1.729 -0.201 1.018
Cu -0.179 -1.891 -0.676
Ag -0.886 -2.762 1.945
```

Results
calculated total energy = -20.11 eV per cell
space group = No. 221
formation energy without anion corrections = -3 meV per atom
V = 65.6 Å³/cell
offset from the most stable computed form = 0.0 meV/atom

=====

Entry 8:
Computed, not measured: an optimized crystal structure of NaHgN at the PBE level of DFT.

```
6
Lattice="4.046 0.054 0.114 1.988 3.510 -0.315 -0.183 -1.577 7.307" Properties=species:S:1:pos:R:3 pbc="T T T"
N 1.867 0.589 5.359
N 3.983 1.398 1.747
Na 1.944 0.313 2.769
Na 3.907 1.674 4.337
Hg 1.970 2.454 0.820
Hg 3.881 -0.467 6.286
```

Results
calculated total energy = -16.13 eV per cell
space group = No. 12
formation energy without anion corrections = 627 meV per atom
V = 100.7 Å³/cell

=====

Entry 9:
Computed, not measured: an optimized crystal structure of GaBi3Pb6 at the PBE level of DFT.

```
20
Lattice="4.621 0.000 0.000 0.000 8.815 -3.082 0.000 1.130 15.391" Properties=species:S:1:pos:R:3 pbc="T T T"
Ga 3.466 5.682 6.208
Ga 1.155 4.263 6.102
Bi 3.466 8.086 2.472
Bi 1.155 1.858 9.837
Bi 3.466 4.371 10.139
Bi 1.155 5.574 2.171
Bi 3.466 3.070 14.376
Bi 1.155 6.875 -2.067
Pb 3.466 5.210 -0.210
Pb 1.155 4.735 12.519
Pb 3.466 8.905 -0.795
Pb 1.155 1.040 13.105
Pb 3.466 8.488 7.536
Pb 1.155 1.456 4.774
Pb 3.466 2.269 7.313
Pb 1.155 7.676 4.996
Pb 3.466 3.824 3.716
Pb 1.155 6.121 8.593
Pb 3.466 7.541 10.981
Pb 1.155 2.404 1.328
```

Results
calculated total energy = -72.75 eV per cell
space group = No. 11
V = 643.1 Å³/cell
offset from the most stable computed form = 0.0 meV/atom

=====

Entry 10:
Computed, not measured: an optimized crystal structure of MgAg2Cl at the PBE level of DFT.

```
4
Lattice="-0.649 -0.906 -2.936 2.452 -1.962 0.063 -5.217 -6.417 3.133" Properties=species:S:1:pos:R:3 pbc="T T T"
Ag -5.089 -6.259 3.056
Ag -0.058 -2.614 -0.860
Cl -3.071 -3.777 1.844
Mg -3.021 -6.259 0.919
```

Results
calculated total energy = -10.75 eV per cell
space group = No. 99
formation energy without anion corrections = -403 meV per atom
V = 87.2 Å³/cell
offset from the most stable computed form = 4.7 meV/atom

=====

Entry 11:
Computed, not measured: an optimized crystal structure of Eu2MgPt at the PBE level of DFT.

```
4
Lattice="4.038 0.000 0.000 2.019 3.497 0.000 2.019 1.166 10.484" Properties=species:S:1:pos:R:3 pbc="T T T"
Eu 2.019 1.166 6.959
Eu 6.057 3.497 3.524
Mg 0.000 0.000 0.000
Pt 4.038 2.332 5.242
```

Results
calculated total energy = -29.27 eV per cell
space group = No. 166
V = 148.1 Å³/cell
offset from the most stable computed form = 249.0 meV/atom

=====

Entry 12:
Computed, not measured: an optimized crystal structure of MnIn2Ir at the PBE level of DFT.

```
4
Lattice="-0.566 -3.515 -2.479 3.188 -0.279 -0.333 1.777 -3.193 4.121" Properties=species:S:1:pos:R:3 pbc="T T T"
In 4.753 -3.288 3.577
In 1.169 -2.805 -0.086
Ir 3.079 -1.760 1.792
Mn 2.844 -4.340 1.709
```

Results
calculated total energy = -23.05 eV per cell
space group = No. 38
V = 73.5 Å³/cell

=====

| no. | DOS at the Fermi energy (states/eV/cell) |
| --- | --- |
| 1 | 1.9 |
| 2 | 10.5 |
| 3 | 19.2 |
| 4 | 2.0 |
| 5 | 31.5 |
| 6 | 12.9 |
| 7 | 0.8 |
| 8 | 1.2 |
| 9 | 9.7 |
| 10 | 0.9 |
| 11 | 23.2 |
| 12 | 3.0 |